Entry 1:
A relaxed structure of InCuP2, computed with PBE.

a = 3.974 Å, b = 3.974 Å, c = 6.859 Å
α = 111.18°, β = 111.18°, γ = 48.07°
Element x y z (fractional)
In: 0.000 0.000 0.000
Cu: 0.200 0.200 0.705
P: 0.428 0.428 0.543
P: 0.842 0.842 0.301

Properties
Symmetry = Cm
D(E_F) = 1.587 states/eV per cell
Density = 5.4 g/cm3
Raw total energy = -17.32 eV per cell

=====

Entry 2:
A relaxed structure of ScPa2SbN5, computed with PBE.

a = 6.884 Å, b = 6.884 Å, c = 11.056 Å
α = 90.00°, β = 90.00°, γ = 151.02°
Element x y z (fractional)
Sc: 0.219 0.781 0.500
Sc: 0.781 0.219 0.000
Pa: 0.124 0.876 0.201
Pa: 0.136 0.864 0.769
Pa: 0.864 0.136 0.269
Pa: 0.876 0.124 0.701
Sb: 0.476 0.524 0.985
Sb: 0.524 0.476 0.485
N: 0.037 0.963 0.607
N: 0.286 0.714 0.143
N: 0.292 0.708 0.837
N: 0.372 0.628 0.545
N: 0.483 0.517 0.292
N: 0.517 0.483 0.792
N: 0.628 0.372 0.045
N: 0.708 0.292 0.337
N: 0.714 0.286 0.643
N: 0.963 0.037 0.107

Properties
Symmetry = Cmc2_1
E_form (uncorrected) = -969 meV/atom
D(E_F) = 7.697 states/eV per cell
Density = 9.1 g/cm3

=====

Entry 3:
A relaxed structure of PuAl2Au, computed with PBE.

a = 3.205 Å, b = 3.205 Å, c = 7.504 Å
α = 90.00°, β = 90.00°, γ = 90.00°
Element x y z (fractional)
Pu: 0.000 0.000 0.000
Al: 0.500 0.500 0.289
Al: 0.500 0.500 0.711
Au: 0.000 0.000 0.500

Properties
Symmetry = P4/mmm
D(E_F) = 5.799 states/eV per cell
Density = 10.7 g/cm3
Raw total energy = -26.34 eV per cell

=====

Entry 4:
A relaxed structure of Sc3Ga12Rh, computed with PBE.

a = 4.156 Å, b = 4.156 Å, c = 15.755 Å
α = 90.00°, β = 90.00°, γ = 90.00°
Element x y z (fractional)
Sc: 0.000 0.000 0.000
Sc: 0.000 0.000 0.260
Sc: 0.000 0.000 0.740
Ga: 0.000 0.500 0.129
Ga: 0.000 0.500 0.389
Ga: 0.000 0.500 0.611
Ga: 0.000 0.500 0.871
Ga: 0.500 0.000 0.129
Ga: 0.500 0.000 0.389
Ga: 0.500 0.000 0.611
Ga: 0.500 0.000 0.871
Ga: 0.500 0.500 0.000
Ga: 0.500 0.500 0.260
Ga: 0.500 0.500 0.500
Ga: 0.500 0.500 0.740
Rh: 0.000 0.000 0.500

Properties
Symmetry = P4/mmm
D(E_F) = 5.450 states/eV per cell
Density = 6.6 g/cm3
Raw total energy = -69.38 eV per cell

=====

Entry 5:
A relaxed structure of NaMnSi2S6, computed with PBE.

a = 8.783 Å, b = 8.783 Å, c = 6.416 Å
α = 104.03°, β = 104.03°, γ = 89.35°
Element x y z (fractional)
Na: 0.132 0.868 0.750
Na: 0.868 0.132 0.250
Mn: 0.205 0.795 0.250
Mn: 0.795 0.205 0.750
Si: 0.223 0.373 0.819
Si: 0.373 0.223 0.319
Si: 0.627 0.777 0.681
Si: 0.777 0.627 0.181
S: 0.044 0.187 0.690
S: 0.138 0.598 0.932
S: 0.187 0.044 0.190
S: 0.305 0.421 0.545
S: 0.402 0.862 0.568
S: 0.421 0.305 0.045
S: 0.579 0.695 0.955
S: 0.598 0.138 0.432
S: 0.695 0.579 0.455
S: 0.813 0.956 0.810
S: 0.862 0.402 0.068
S: 0.956 0.813 0.310

Properties
Symmetry = C2/c
E_form (uncorrected) = -588 meV/atom
D(E_F) = 6.077 states/eV per cell
Density = 2.3 g/cm3

=====

Entry 6:
A relaxed structure of Zr4CrTc, computed with PBE.

a = 5.622 Å, b = 5.622 Å, c = 5.622 Å
α = 60.00°, β = 60.00°, γ = 60.00°
Element x y z (fractional)
Zr: 0.376 0.376 0.376
Zr: 0.376 0.376 0.873
Zr: 0.376 0.873 0.376
Zr: 0.873 0.376 0.376
Cr: 0.000 0.000 0.000
Tc: 0.750 0.750 0.750

Properties
Symmetry = F-43m
D(E_F) = 9.913 states/eV per cell
Density = 6.8 g/cm3
Raw total energy = -49.81 eV per cell

=====

Among the records above, which one has the highest D(E_F)? Zr4CrTc